[1]
# Pu2GePt6 PBE optimized geometry
# - volume (Å³ per atom) = 18.511
# - ΔE to the lowest computed polymorph (meV/atom) = 0
# - DOS at the Fermi energy (states/eV per atom) = 2.59
# - energy of formation from the pure elements (meV per atom) = -718.4
data_Pu2GePt6
_cell_length_a 5.6711
_cell_length_b 5.6711
_cell_length_c 5.9815
_cell_angle_alpha 90.00
_cell_angle_beta 90.00
_cell_angle_gamma 120.00
_space_group_name_H-M_alt 'P -3 m 1'
_space_group_IT_number 164
_space_group_name_Hall '-P 3 2"'
loop_
_atom_site_label
_atom_site_type_symbol
_atom_site_fract_x
_atom_site_fract_y
_atom_site_fract_z
Pu1 Pu 0.3333 0.6667 0.1526
Ge1 Ge 0.0000 0.0000 0.0000
Pt1 Pt 0.1729 0.3457 0.6894



[2]
# Pu3GePt2 PBE optimized geometry
# - volume (Å³ per atom) = 22.027
# - DOS at the Fermi energy (states/eV per atom) = 4.37
# - energy of formation from the pure elements (meV per atom) = -592.6
data_Pu3GePt2
_cell_length_a 7.1568
_cell_length_b 8.8667
_cell_length_c 8.9740
_cell_angle_alpha 90.00
_cell_angle_beta 111.82
_cell_angle_gamma 90.00
_space_group_name_H-M_alt 'P 1 21/c 1'
_space_group_IT_number 14
_space_group_name_Hall '-P 2ybc'
loop_
_atom_site_label
_atom_site_type_symbol
_atom_site_fract_x
_atom_site_fract_y
_atom_site_fract_z
Pu1 Pu 0.1946 0.0835 0.4526
Pu2 Pu 0.1951 0.5970 0.6719
Pu3 Pu 0.2952 0.0300 0.8431
Ge1 Ge 0.4016 0.7169 0.9988
Pt1 Pt 0.0063 0.7339 0.3645
Pt2 Pt 0.4139 0.1862 0.1945



Among the records above, which one has the lowest energy of formation from the pure elements?
Pu2GePt6



What is the volume in the second record?
22.027 Å³ per atom